{
  "formula": "KHCN2",
  "functional": "PBE-GGA",
  "state": "optimized geometry",
  "dft_energy_ev_per_cell": -255.880,
  "spacegroup": "P2_12_12_1, No. 19",
  "magnetic_moment_mub_per_fu": 0.00,
  "n_ef_per_ev_atom": 0.00,
  "cell": [[-0.5631, 6.0438, -3.8243], [-8.1241, -2.7683, -3.1788], [-4.1562, 4.0837, 7.0657]],
  "species": ["N", "N", "N", "N", "N", "N", "N", "N", "N", "N", "N", "N", "N", "N", "N", "N", "K", "K", "K", "K", "K", "K", "K", "K", "H", "H", "H", "H", "H", "H", "H", "H", "C", "C", "C", "C", "C", "C", "C", "C"],
  "fractional_positions": [[0.1324, 0.2028, 0.8664], [0.6194, 0.0951, 0.0717], [0.3667, 0.0926, 0.4536], [0.3806, 0.4049, 0.5717], [0.3676, 0.7028, 0.1336], [0.6333, 0.4074, 0.9536], [0.1333, 0.5926, 0.5464], [0.6324, 0.7972, 0.6336], [0.8667, 0.9074, 0.0464], [0.8676, 0.2972, 0.3664], [0.8854, 0.1806, 0.6782], [0.1194, 0.9049, 0.4283], [0.3854, 0.8194, 0.8218], [0.6146, 0.6806, 0.3218], [0.1146, 0.3194, 0.1782], [0.8806, 0.5951, 0.9283], [0.7386, 0.9935, 0.3923], [0.5010, 0.1453, 0.7598], [0.7614, 0.4935, 0.6077], [0.2386, 0.0065, 0.1077], [0.2614, 0.5065, 0.8923], [0.0010, 0.8547, 0.7402], [0.9990, 0.6453, 0.2402], [0.4990, 0.3547, 0.2598], [0.8282, 0.8042, 0.0123], [0.5827, 0.7134, 0.4269], [0.4173, 0.7866, 0.9268], [0.1718, 0.6958, 0.5123], [0.6718, 0.3042, 0.9877], [0.0827, 0.2866, 0.0731], [0.3282, 0.1958, 0.4877], [0.9173, 0.2134, 0.5732], [0.9823, 0.3043, 0.2708], [0.2668, 0.5003, 0.5559], [0.0177, 0.1957, 0.7708], [0.4823, 0.6957, 0.2292], [0.2332, 0.0003, 0.4441], [0.7668, 0.4997, 0.9441], [0.5177, 0.8043, 0.7292], [0.7332, 0.9997, 0.0559]]
}

{
  "formula": "KH3CN",
  "functional": "PBE-GGA",
  "state": "optimized geometry",
  "dft_energy_ev_per_cell": -118.675,
  "spacegroup": "P2_1/c, No. 14",
  "magnetic_moment_mub_per_fu": 0.00,
  "n_ef_per_ev_atom": 0.00,
  "cell": [[-2.1569, -4.3524, -2.9495], [2.6030, -4.5818, 4.8577], [-5.1049, -1.9057, 6.5452]],
  "species": ["C", "C", "C", "C", "H", "H", "H", "H", "H", "H", "H", "H", "H", "H", "H", "H", "N", "N", "N", "N", "K", "K", "K", "K"],
  "fractional_positions": [[0.0771, 0.4424, 0.4898], [0.4229, 0.4424, 0.9898], [0.5771, 0.5576, 0.0102], [0.9229, 0.5576, 0.5102], [0.0677, 0.9989, 0.3311], [0.9323, 0.0011, 0.6689], [0.7474, 0.8074, 0.7869], [0.5677, 0.0011, 0.1689], [0.1278, 0.1856, 0.3913], [0.6278, 0.8144, 0.1087], [0.3722, 0.1856, 0.8913], [0.4323, 0.9989, 0.8311], [0.7526, 0.8074, 0.2869], [0.2474, 0.1926, 0.7131], [0.2526, 0.1926, 0.2131], [0.8722, 0.8144, 0.6087], [0.3011, 0.0919, 0.8396], [0.8011, 0.9081, 0.6604], [0.1989, 0.0919, 0.3396], [0.6989, 0.9081, 0.1604], [0.5876, 0.3098, 0.4049], [0.9124, 0.3098, 0.9049], [0.4124, 0.6902, 0.5951], [0.0876, 0.6902, 0.0951]]
}